(1)
Compound: ErTe
Source: OQMD
Functional: PBE-GGA
Structure: relaxed

Cell lengths 4.0545, 4.0545, 4.0310 Å; angles 90.00, 90.00, 120.00 degrees
Space group P-6m2 (No. 187)
Unique sites:
Er1 0.0000 0.0000 0.0000 x1
Te1 0.6667 0.3333 0.5000 x1

The spin magnetization comes out at 0.74 μB/cell.

(2)
Compound: Er2Te
Source: OQMD
Functional: PBE-GGA
Structure: relaxed

Cell lengths 8.945, 8.945, 8.945 Å; angles 90.00, 90.00, 90.00 degrees
Space group Fd-3m (No. 227, origin choice 2)
Unique sites:
Er1 0.000 0.000 0.000 x16
Te1 0.125 0.125 0.625 x8

The spin magnetization comes out at 0.14 μB/cell.

(3)
Compound: ErThTe
Source: OQMD
Functional: PBE-GGA
Structure: relaxed

Cell lengths 7.311, 7.311, 7.311 Å; angles 90.00, 90.00, 90.00 degrees
Space group F-43m (No. 216)
Unique sites:
Er1 0.000 0.000 0.000 x4
Th1 0.000 0.000 0.500 x4
Te1 0.250 0.250 0.250 x4

The spin magnetization comes out at 3.64 μB/cell.

(4)
Compound: Er5TlTe4
Source: OQMD
Functional: PBE-GGA
Structure: relaxed

Cell lengths 9.708, 9.708, 6.119 Å; angles 90.00, 90.00, 90.00 degrees
Space group I4/m (No. 87)
Unique sites:
Er1 0.000 0.000 0.000 x2
Er2 0.099 0.290 0.500 x8
Tl1 0.000 0.000 0.500 x2
Te1 0.095 0.303 0.000 x8

The spin magnetization comes out at 0.00 μB/cell.

(5)
Compound: Er3TlTe2
Source: OQMD
Functional: PBE-GGA
Structure: relaxed

Cell lengths 4.215, 6.140, 13.382 Å; angles 90.00, 90.00, 90.00 degrees
Space group Immm (No. 71)
Unique sites:
Er1 0.000 0.000 0.000 x2
Er2 0.000 0.000 0.337 x4
Tl1 0.000 0.500 0.000 x2
Te1 0.000 0.500 0.331 x4

The spin magnetization comes out at 0.00 μB/cell.

(6)
Compound: ErTlZnTe3
Source: OQMD
Functional: PBE-GGA
Structure: relaxed

Cell lengths 15.752, 4.348, 11.675 Å; angles 90.00, 90.00, 90.00 degrees
Space group Pnma (No. 62)
Unique sites:
Er1 0.024 0.250 0.156 x4
Tl1 0.237 0.250 0.460 x4
Zn1 0.018 0.750 0.400 x4
Te1 0.086 0.750 0.617 x4
Te2 0.101 0.250 0.920 x4
Te3 0.144 0.750 0.248 x4

The spin magnetization comes out at 0.00 μB/cell. The offset from the most stable computed form is 16.1 meV per atom.

(7)
Compound: ErTlZnTe3
Source: OQMD
Functional: PBE-GGA
Structure: relaxed

Cell lengths 4.332, 15.502, 11.514 Å; angles 90.00, 90.00, 90.00 degrees
Space group Cmcm (No. 63)
Unique sites:
Er1 0.000 0.000 0.000 x4
Tl1 0.000 0.245 0.250 x4
Zn1 0.000 0.462 0.750 x4
Te1 0.000 0.071 0.750 x4
Te2 0.000 0.366 0.558 x8

The spin magnetization comes out at 0.00 μB/cell. The offset from the most stable computed form is 1.1 meV per atom.

(8)
Compound: ErTlZnTe3
Source: OQMD
Functional: PBE-GGA
Structure: relaxed

Cell lengths 12.479, 4.466, 13.446 Å; angles 90.00, 90.00, 90.00 degrees
Space group Pnma (No. 62)
Unique sites:
Er1 0.025 0.250 0.183 x4
Tl1 0.182 0.250 0.493 x4
Zn1 0.245 0.750 0.299 x4
Te1 0.037 0.750 0.344 x4
Te2 0.096 0.250 0.933 x4
Te3 0.227 0.750 0.687 x4

The spin magnetization comes out at 0.01 μB/cell. The offset from the most stable computed form is 73.7 meV per atom.

(9)
Compound: ErTlZnTe3
Source: OQMD
Functional: PBE-GGA
Structure: relaxed

Cell lengths 19.291, 4.399, 9.380 Å; angles 90.00, 102.73, 90.00 degrees
Space group C2/m (No. 12)
Unique sites:
Er1 0.174 0.000 0.080 x4
Tl1 0.136 0.000 0.569 x4
Zn1 0.029 0.500 0.221 x4
Te1 0.000 0.000 0.000 x2
Te2 0.000 0.500 0.500 x2
Te3 0.166 0.500 0.857 x4
Te4 0.170 0.500 0.303 x4

The spin magnetization comes out at 0.02 μB/cell. The offset from the most stable computed form is 139.4 meV per atom.

(10)
Compound: ErTlZnTe3
Source: OQMD
Functional: PBE-GGA
Structure: relaxed

Cell lengths 9.160, 4.610, 17.448 Å; angles 90.00, 90.00, 90.00 degrees
Space group Pnma (No. 62)
Unique sites:
Er1 0.250 0.250 0.044 x4
Tl1 0.073 0.250 0.789 x4
Zn1 0.132 0.250 0.358 x4
Te1 0.002 0.750 0.413 x4
Te2 0.128 0.750 0.949 x4
Te3 0.198 0.250 0.211 x4

The spin magnetization comes out at 0.01 μB/cell. The offset from the most stable computed form is 132.1 meV per atom.

(11)
Compound: ErTlZnTe3
Source: OQMD
Functional: PBE-GGA
Structure: relaxed

Cell lengths 8.813, 4.346, 11.147 Å; angles 90.00, 109.11, 90.00 degrees
Space group P2_1/m (No. 11)
Unique sites:
Er1 0.189 0.250 0.143 x2
Tl1 0.233 0.750 0.708 x2
Zn1 0.421 0.750 0.389 x2
Te1 0.056 0.250 0.856 x2
Te2 0.266 0.250 0.443 x2
Te3 0.440 0.750 0.157 x2

The spin magnetization comes out at 0.01 μB/cell. The offset from the most stable computed form is 21.4 meV per atom.

(12)
Compound: ErTlZnTe3
Source: OQMD
Functional: PBE-GGA
Structure: relaxed

Cell lengths 11.538, 4.329, 15.662 Å; angles 90.00, 90.00, 90.00 degrees
Space group Pnma (No. 62)
Unique sites:
Er1 0.019 0.250 0.244 x4
Tl1 0.221 0.750 0.509 x4
Zn1 0.236 0.250 0.717 x4
Te1 0.042 0.250 0.624 x4
Te2 0.080 0.750 0.114 x4
Te3 0.234 0.750 0.823 x4

The spin magnetization comes out at 0.02 μB/cell. The offset from the most stable computed form is 0.0 meV per atom.

(13)
Compound: Er6Tm2Te
Source: OQMD
Functional: PBE-GGA
Structure: relaxed

Cell lengths 9.1227, 9.1227, 3.7339 Å; angles 90.00, 90.00, 120.00 degrees
Space group P-62m (No. 189)
Unique sites:
Er1 0.0000 0.2767 0.0000 x3
Er2 0.0000 0.6144 0.5000 x3
Tm1 0.3333 0.6667 0.0000 x2
Te1 0.0000 0.0000 0.5000 x1

The spin magnetization comes out at 0.07 μB/cell.

(14)
Compound: Er5Tm3Te
Source: OQMD
Functional: PBE-GGA
Structure: relaxed

Cell lengths 9.1010, 9.1010, 3.7291 Å; angles 90.00, 90.00, 120.00 degrees
Space group P-62m (No. 189)
Unique sites:
Er1 0.0000 0.6155 0.0000 x3
Er2 0.3333 0.6667 0.5000 x2
Tm1 0.0000 0.2753 0.5000 x3
Te1 0.0000 0.0000 0.0000 x1

The spin magnetization comes out at 0.07 μB/cell.

(15)
Compound: Er5Tm3Te
Source: OQMD
Functional: PBE-GGA
Structure: relaxed

Cell lengths 9.1126, 9.1126, 3.7319 Å; angles 90.00, 90.00, 120.00 degrees
Space group P-62m (No. 189)
Unique sites:
Er1 0.0000 0.2768 0.0000 x3
Er2 0.3333 0.6667 0.0000 x2
Tm1 0.0000 0.6144 0.5000 x3
Te1 0.0000 0.0000 0.5000 x1

The spin magnetization comes out at 0.00 μB/cell.

(16)
Compound: ErTmTe6
Source: OQMD
Functional: PBE-GGA
Structure: relaxed

Cell lengths 4.317, 4.315, 26.039 Å; angles 90.00, 90.00, 90.00 degrees
Space group Amm2 (No. 38)
Unique sites:
Er1 0.000 0.000 0.000 x2
Tm1 0.500 0.000 0.343 x2
Te1 0.000 0.000 0.247 x2
Te2 0.000 0.000 0.596 x2
Te3 0.000 0.000 0.878 x2
Te4 0.500 0.000 0.096 x2
Te5 0.500 0.000 0.464 x2
Te6 0.500 0.000 0.747 x2

The spin magnetization comes out at 0.03 μB/cell.

(17)
Compound: Er2Tm6Te
Source: OQMD
Functional: PBE-GGA
Structure: relaxed

Cell lengths 9.0852, 9.0852, 3.7227 Å; angles 90.00, 90.00, 120.00 degrees
Space group P-62m (No. 189)
Unique sites:
Er1 0.3333 0.6667 0.0000 x2
Tm1 0.0000 0.2758 0.0000 x3
Tm2 0.0000 0.6153 0.5000 x3
Te1 0.0000 0.0000 0.5000 x1

The spin magnetization comes out at 0.02 μB/cell.

(18)
Compound: Y3Er2Tm3Te
Source: OQMD
Functional: PBE-GGA
Structure: relaxed

Cell lengths 9.1751, 9.1751, 3.7521 Å; angles 90.00, 90.00, 120.00 degrees
Space group P-62m (No. 189)
Unique sites:
Y1 0.0000 0.2748 0.0000 x3
Er1 0.3333 0.6667 0.0000 x2
Tm1 0.0000 0.6151 0.5000 x3
Te1 0.0000 0.0000 0.5000 x1

The spin magnetization comes out at 0.20 μB/cell. The offset from the most stable computed form is 0.0 meV per atom.

(19)
Compound: ErUTe
Source: OQMD
Functional: PBE-GGA
Structure: relaxed

Cell lengths 7.160, 7.160, 7.160 Å; angles 90.00, 90.00, 90.00 degrees
Space group F-43m (No. 216)
Unique sites:
Er1 0.000 0.000 0.000 x4
U1 0.000 0.000 0.500 x4
Te1 0.250 0.250 0.250 x4

The spin magnetization comes out at 18.38 μB/cell. The offset from the most stable computed form is 0.0 meV per atom.

(20)
Compound: ErTeW
Source: OQMD
Functional: PBE-GGA
Structure: relaxed

Cell lengths 6.642, 6.642, 6.642 Å; angles 90.00, 90.00, 90.00 degrees
Space group F-43m (No. 216)
Unique sites:
Er1 0.000 0.000 0.000 x4
Te1 0.250 0.250 0.750 x4
W1 0.000 0.000 0.500 x4

The spin magnetization comes out at 4.80 μB/cell.

(21)
Compound: Y3Er5Te
Source: OQMD
Functional: PBE-GGA
Structure: relaxed

Cell lengths 9.1868, 9.1868, 3.7623 Å; angles 90.00, 90.00, 120.00 degrees
Space group P-62m (No. 189)
Unique sites:
Y1 0.0000 0.2752 0.0000 x3
Er1 0.0000 0.6156 0.5000 x3
Er2 0.3333 0.6667 0.0000 x2
Te1 0.0000 0.0000 0.5000 x1

The spin magnetization comes out at 0.18 μB/cell. The offset from the most stable computed form is 0.0 meV per atom.

(22)
Compound: YEr2Te3
Source: OQMD
Functional: PBE-GGA
Structure: relaxed

Cell lengths 4.3297, 4.3297, 10.6212 Å; angles 90.00, 90.00, 120.00 degrees
Space group P-3m1 (No. 164)
Unique sites:
Y1 0.0000 0.0000 0.0000 x1
Er1 0.3333 0.6667 0.6656 x2
Te1 0.0000 0.0000 0.5000 x1
Te2 0.3333 0.6667 0.1699 x2

The spin magnetization comes out at 0.00 μB/cell.

| no. | final energy (eV for the cell shown) |
| --- | --- |
| 1 | -10.17 |
| 2 | -100.96 |
| 3 | -63.78 |
| 4 | -97.05 |
| 5 | -56.12 |
| 6 | -89.96 |
| 7 | -90.32 |
| 8 | -88.57 |
| 9 | -87.00 |
| 10 | -87.17 |
| 11 | -44.91 |
| 12 | -90.34 |
| 13 | -41.99 |
| 14 | -41.88 |
| 15 | -41.90 |
| 16 | -69.72 |
| 17 | -41.61 |
| 18 | -47.71 |
| 19 | -74.34 |
| 20 | -74.97 |
| 21 | -47.99 |
| 22 | -32.47 |